Version A
Here is an optimized crystal structure of Tm2FePd from Alexandria via LeMat-Bulk. Energies are from GGA-PBE.

The structure in POSCAR format:
```
Tm2FePd
1.0
0.0000 3.3688 3.3688
3.3688 0.0000 3.3688
3.3688 3.3688 0.0000
Tm Fe Pd
2 1 1
direct
0.2500 0.2500 0.2500
0.7500 0.7500 0.7500
0.0000 0.0000 0.0000
0.5000 0.5000 0.5000
```

=====

Version B
Here is an optimized crystal structure of Tm2FePd from Alexandria via LeMat-Bulk. Energies are from GGA-PBE.

The structure in POSCAR format:
```
Tm2FePd
1.0
3.3643 0.0000 0.0000
0.0000 3.3643 0.0000
0.0000 0.0000 6.7280
Tm Fe Pd
2 1 1
direct
0.0000 0.0000 0.2356
0.0000 0.0000 0.7644
0.5000 0.5000 0.0000
0.5000 0.5000 0.5000
```

=====

Most stable structure, least stable structure: version B, version A.